! PBE-GGA La5Pr2Tm2, relaxed; values from VASP
! space group	No. 12
! size of the total moment	0.000	μB/atom
! energy of formation from the pure elements	0.023	eV per atom
&SYSTEM
  ibrav = 0, nat = 9, ntyp = 3
/
ATOMIC_SPECIES
La 138.91 La.upf
Pr 140.91 Pr.upf
Tm 168.93 Tm.upf
ATOMIC_POSITIONS angstrom
La 0.000 0.000 0.000
La 2.280 0.000 4.647
La 3.499 0.000 1.150
La 4.600 0.000 9.290
La 5.820 0.000 5.792
Pr -2.375 0.000 6.990
Pr 10.474 0.000 3.449
Tm 1.106 0.000 8.112
Tm 6.994 0.000 2.327
CELL_PARAMETERS angstrom
5.843 -2.596 0.000
5.843 2.596 0.000
-3.585 0.000 10.439